1.
Entry from Alexandria via LeMat-Bulk: ZrCd2Se after structural relaxation (GGA-PBE).

ΔE_f (raw) ... -449.6 meV per atom
Crystal system ... monoclinic
Theoretical density ... 7.08 Mg/m³

Unit cell a=3.3841 b=3.3979 c=8.2180 alpha=90.00 beta=101.41 gamma=90.00
Sites, in units of the cell vectors:
Zr  0.0000  0.0000  0.0000
Cd  0.2405  0.0000  0.5019
Cd  0.6276  0.5000  0.2658
Se  0.4208  0.5000  0.8354

2.
Entry from Alexandria via LeMat-Bulk: SrCu2AuN after structural relaxation (GGA-PBE).

ΔE_f (raw) ... 643.0 meV per atom
Crystal system ... tetragonal
Distance to the lowest polymorph of the same formula ... 394 kJ/mol of formula units
Theoretical density ... 7.11 Mg/m³

Unit cell a=4.8478 b=4.8478 c=4.2324 alpha=90.00 beta=90.00 gamma=90.00
Sites, in units of the cell vectors:
Sr  0.0000  0.0000  0.0000
Cu  0.0000  0.5000  0.5000
Cu  0.5000  0.0000  0.5000
Au  0.5000  0.5000  0.5000
N  0.5000  0.5000  0.0000

3.
Entry from Alexandria via LeMat-Bulk: TeMoWSe2S after structural relaxation (GGA-PBE).

ΔE_f (raw) ... -511.1 meV per atom
Crystal system ... trigonal
Distance to the lowest polymorph of the same formula ... 21 kJ/mol of formula units
Theoretical density ... 6.92 Mg/m³

Unit cell a=3.3441 b=3.3441 c=29.6101 alpha=90.00 beta=90.00 gamma=120.00
Sites, in units of the cell vectors:
Te  0.0000  0.0000  0.0000
Te  0.0000  0.0000  0.1290
Mo  0.0000  0.0000  0.8175
Mo  0.6667  0.3333  0.5800
W  0.0000  0.0000  0.3314
W  0.6667  0.3333  0.0645
Se  0.0000  0.0000  0.5237
Se  0.0000  0.0000  0.6363
Se  0.6667  0.3333  0.2749
Se  0.6667  0.3333  0.3880
S  0.6667  0.3333  0.7663
S  0.6667  0.3333  0.8687

4.
Entry from Alexandria via LeMat-Bulk: Na2MgNpO4 after structural relaxation (GGA-PBE).

ΔE_f (raw) ... -2346.0 meV per atom
Crystal system ... monoclinic
Theoretical density ... 5.89 Mg/m³

Unit cell a=5.5789 b=3.3716 c=5.8347 alpha=90.00 beta=107.56 gamma=90.00
Sites, in units of the cell vectors:
Na  0.0000  0.0000  0.0000
Na  0.5000  0.5000  0.0000
Mg  0.0000  0.5000  0.5000
Np  0.5000  0.0000  0.5000
O  0.2357  0.0000  0.7047
O  0.2553  0.5000  0.2855
O  0.7447  0.5000  0.7145
O  0.7643  0.0000  0.2953